# 1
Material: Tb7PrSc3
Method: DFT, GGA-PBE
State: optimized geometry

Values from the calculation:
- magnetic moment (μB/f.u.) = 0.01
- VASP energy (eV per atom) = -4.88
- DOS(E_F) (states/eV per cell) = 18.163
- E_form (eV per atom) = 0.225

a b c (Å): 8.2715 7.0036 7.0036
angles (deg): 120.00 90.00 90.00
Atoms (fractional coordinates):
Pr  0.4458  0.3333  0.6667
Tb  0.4629  0.8322  0.1678
Tb  0.1029  0.1673  0.3347
Tb  0.1177  0.6667  0.3333
Tb  0.4629  0.3355  0.1678
Sc  0.7847  0.5014  0.0027
Tb  0.1029  0.1673  0.8327
Tb  0.1029  0.6653  0.8327
Tb  0.4629  0.8322  0.6645
Sc  0.7847  0.9973  0.4986
Sc  0.7847  0.5014  0.4986



# 2
Material: YNbB2
Method: DFT, GGA-PBE
State: optimized geometry

Values from the calculation:
- magnetic moment (μB/f.u.) = 0.00
- VASP energy (eV per atom) = -6.90
- DOS(E_F) (states/eV per cell) = 8.820
- E_form (eV per atom) = 0.569

a b c (Å): 5.2181 5.2181 6.7632
angles (deg): 67.31 67.31 90.00
Atoms (fractional coordinates):
B  0.0616  0.6250  0.2500
Y  0.5000  0.5000  0.0000
Nb  0.0000  0.0000  0.0000
B  0.3750  0.3116  0.7500
B  0.6884  0.1250  0.2500
B  0.8750  0.9384  0.7500
Nb  0.7500  0.2500  0.5000
Y  0.2500  0.7500  0.5000



# 3
Material: La6Dy3Th
Method: DFT, GGA-PBE
State: optimized geometry

Values from the calculation:
- magnetic moment (μB/f.u.) = 0.00
- VASP energy (eV per atom) = -5.06
- DOS(E_F) (states/eV per cell) = 31.058
- E_form (eV per atom) = 0.023

a b c (Å): 3.6716 6.3195 30.1443
angles (deg): 93.90 97.02 90.02
Atoms (fractional coordinates):
La  0.9029  0.6285  0.4020
La  0.5989  0.8624  0.5988
La  0.9024  0.2977  0.9014
La  0.4036  0.8096  0.9028
La  0.0971  0.3715  0.5980
Dy  0.3007  0.0984  0.7999
Th  0.0000  0.0000  0.0000
La  0.0976  0.7023  0.0986
La  0.2004  0.4006  0.2008
Th  0.5000  0.5000  0.5000
Dy  0.6993  0.9016  0.2001
Dy  0.5000  0.5000  0.0000
Dy  0.2021  0.7365  0.7013
La  0.7996  0.5994  0.7992
La  0.7024  0.2351  0.7019
La  0.4011  0.1376  0.4012
Dy  0.7979  0.2635  0.2987
La  0.2976  0.7649  0.2981
La  0.5964  0.1904  0.0972
Dy  0.0000  0.0000  0.5000